Record 1
! HfGe, relaxed, DFT PBE; values from VASP
&SYSTEM
  ibrav = 0, nat = 12, ntyp = 2
/
ATOMIC_SPECIES
Hf 178.49 Hf.upf
Ge 72.64 Ge.upf
CELL_PARAMETERS angstrom
7.454 0.000 0.000
0.000 7.454 0.000
0.000 0.000 7.454
ATOMIC_POSITIONS crystal
Hf 0.000 0.250 0.500
Hf 0.000 0.750 0.500
Hf 0.250 0.500 0.000
Hf 0.500 0.000 0.250
Hf 0.500 0.000 0.750
Hf 0.750 0.500 0.000
Ge 0.000 0.500 0.250
Ge 0.000 0.500 0.750
Ge 0.250 0.000 0.500
Ge 0.500 0.250 0.000
Ge 0.500 0.750 0.000
Ge 0.750 0.000 0.500
! Total magnetic moment = 0.00 μB/cell
! E_form = 82 kJ/mol of formula units
! Calculated density = 6.04 Mg/m³
! Fermi-level density of states = 3.04 states/eV per cell
! Crystal system = cubic

***

Record 2
! HfGe, relaxed, DFT PBE; values from VASP
&SYSTEM
  ibrav = 0, nat = 6, ntyp = 2
/
ATOMIC_SPECIES
Hf 178.49 Hf.upf
Ge 72.64 Ge.upf
CELL_PARAMETERS angstrom
6.128 0.000 0.000
-3.064 5.307 0.000
0.000 0.000 4.188
ATOMIC_POSITIONS crystal
Hf 0.000 0.500 0.000
Hf 0.500 0.000 0.000
Hf 0.500 0.500 0.000
Ge 0.000 0.000 0.000
Ge 0.333 0.667 0.500
Ge 0.667 0.333 0.500
! Total magnetic moment = 0.00 μB/cell
! E_form = -34 kJ/mol of formula units
! Calculated density = 9.19 Mg/m³
! Fermi-level density of states = 5.17 states/eV per cell
! Crystal system = hexagonal

***

Record 3
! Hf2Ge, relaxed, DFT PBE; values from VASP
&SYSTEM
  ibrav = 0, nat = 12, ntyp = 2
/
ATOMIC_SPECIES
Hf 178.49 Hf.upf
Ge 72.64 Ge.upf
CELL_PARAMETERS angstrom
1.841 -7.728 0.000
1.841 7.728 0.000
0.000 0.000 8.518
ATOMIC_POSITIONS crystal
Hf 0.033 0.967 0.500
Hf 0.150 0.850 0.875
Hf 0.311 0.689 0.105
Hf 0.357 0.643 0.679
Hf 0.643 0.357 0.179
Hf 0.689 0.311 0.605
Hf 0.850 0.150 0.375
Hf 0.967 0.033 0.000
Ge 0.215 0.785 0.380
Ge 0.472 0.528 0.262
Ge 0.528 0.472 0.762
Ge 0.785 0.215 0.880
! Total magnetic moment = 0.00 μB/cell
! E_form = -126 kJ/mol of formula units
! Calculated density = 11.77 Mg/m³
! Fermi-level density of states = 11.83 states/eV per cell
! Crystal system = orthorhombic

***

Record 4
! Hf3Ge, relaxed, DFT PBE; values from VASP
&SYSTEM
  ibrav = 0, nat = 4, ntyp = 2
/
ATOMIC_SPECIES
Hf 178.49 Hf.upf
Ge 72.64 Ge.upf
CELL_PARAMETERS angstrom
-2.093 2.093 4.635
2.093 -2.093 4.635
2.093 2.093 -4.635
ATOMIC_POSITIONS crystal
Hf 0.000 0.000 0.000
Hf 0.250 0.750 0.500
Hf 0.750 0.250 0.500
Ge 0.500 0.500 0.000
! Total magnetic moment = 0.00 μB/cell
! E_form = -98 kJ/mol of formula units
! Calculated density = 12.44 Mg/m³
! Fermi-level density of states = 2.74 states/eV per cell
! Crystal system = tetragonal

***

Record 5
! Hf2Ge, relaxed, DFT PBE; values from VASP
&SYSTEM
  ibrav = 0, nat = 6, ntyp = 2
/
ATOMIC_SPECIES
Hf 178.49 Hf.upf
Ge 72.64 Ge.upf
CELL_PARAMETERS angstrom
-3.315 3.315 2.655
3.315 -3.315 2.655
3.315 3.315 -2.655
ATOMIC_POSITIONS crystal
Hf 0.155 0.655 0.810
Hf 0.345 0.155 0.500
Hf 0.655 0.845 0.500
Hf 0.845 0.345 0.190
Ge 0.250 0.250 0.000
Ge 0.750 0.750 0.000
! Total magnetic moment = 0.00 μB/cell
! E_form = -192 kJ/mol of formula units
! Calculated density = 12.23 Mg/m³
! Fermi-level density of states = 1.87 states/eV per cell
! Crystal system = tetragonal

***

Record 6
! HfGe, relaxed, DFT PBE; values from VASP
&SYSTEM
  ibrav = 0, nat = 8, ntyp = 2
/
ATOMIC_SPECIES
Hf 178.49 Hf.upf
Ge 72.64 Ge.upf
CELL_PARAMETERS angstrom
-4.577 4.577 2.665
4.577 -4.577 2.665
4.577 4.577 -2.665
ATOMIC_POSITIONS crystal
Hf 0.138 0.638 0.776
Hf 0.362 0.138 0.500
Hf 0.638 0.862 0.500
Hf 0.862 0.362 0.224
Ge 0.155 0.345 0.500
Ge 0.345 0.845 0.189
Ge 0.655 0.155 0.811
Ge 0.845 0.655 0.500
! Total magnetic moment = 0.00 μB/cell
! E_form = -34 kJ/mol of formula units
! Calculated density = 7.47 Mg/m³
! Fermi-level density of states = 1.67 states/eV per cell
! Crystal system = tetragonal

***

What did the second record say?
! HfGe, relaxed, DFT PBE; values from VASP
&SYSTEM
  ibrav = 0, nat = 6, ntyp = 2
/
ATOMIC_SPECIES
Hf 178.49 Hf.upf
Ge 72.64 Ge.upf
CELL_PARAMETERS angstrom
6.128 0.000 0.000
-3.064 5.307 0.000
0.000 0.000 4.188
ATOMIC_POSITIONS crystal
Hf 0.000 0.500 0.000
Hf 0.500 0.000 0.000
Hf 0.500 0.500 0.000
Ge 0.000 0.000 0.000
Ge 0.333 0.667 0.500
Ge 0.667 0.333 0.500
! Total magnetic moment = 0.00 μB/cell
! E_form = -34 kJ/mol of formula units
! Calculated density = 9.19 Mg/m³
! Fermi-level density of states = 5.17 states/eV per cell
! Crystal system = hexagonal

***

Copy entry 6 word for word.
! HfGe, relaxed, DFT PBE; values from VASP
&SYSTEM
  ibrav = 0, nat = 8, ntyp = 2
/
ATOMIC_SPECIES
Hf 178.49 Hf.upf
Ge 72.64 Ge.upf
CELL_PARAMETERS angstrom
-4.577 4.577 2.665
4.577 -4.577 2.665
4.577 4.577 -2.665
ATOMIC_POSITIONS crystal
Hf 0.138 0.638 0.776
Hf 0.362 0.138 0.500
Hf 0.638 0.862 0.500
Hf 0.862 0.362 0.224
Ge 0.155 0.345 0.500
Ge 0.345 0.845 0.189
Ge 0.655 0.155 0.811
Ge 0.845 0.655 0.500
! Total magnetic moment = 0.00 μB/cell
! E_form = -34 kJ/mol of formula units
! Calculated density = 7.47 Mg/m³
! Fermi-level density of states = 1.67 states/eV per cell
! Crystal system = tetragonal